# HoMg3Tl3

Crystalline HoMg3Tl3 at its relaxed geometry (PBE, Alexandria).

The structure in extended XYZ format:
```
14
Lattice="7.7664 0.0000 0.0000 0.0000 7.7664 0.0000 0.0000 0.0000 7.7664" Properties=species:S:1:pos:R:3 pbc="T T T"
Ho 0.0000 0.0000 0.0000
Ho 3.8832 3.8832 3.8832
Mg 0.0000 1.9416 3.8832
Mg 0.0000 5.8248 3.8832
Mg 1.9416 3.8832 0.0000
Mg 3.8832 0.0000 1.9416
Mg 3.8832 0.0000 5.8248
Mg 5.8248 3.8832 0.0000
Tl 0.0000 3.8832 1.9416
Tl 0.0000 3.8832 5.8248
Tl 1.9416 0.0000 3.8832
Tl 3.8832 1.9416 0.0000
Tl 3.8832 5.8248 0.0000
Tl 5.8248 0.0000 3.8832
```

total DFT energy (no corrections) = -25.9 eV per cell
total magnetization = 0.0 μB/f.u.
distance to the lowest polymorph of the same formula = 3.51 eV/f.u.